# RhWOF2 | Alexandria | PBE with a Hubbard U | optimized geometry
data_RhWOF2
_cell_length_a 4.238
_cell_length_b 4.238
_cell_length_c 3.887
_cell_angle_alpha 90.00
_cell_angle_beta 90.00
_cell_angle_gamma 90.00
_space_group_name_H-M_alt 'P 4/m m m'
_space_group_IT_number 123
_space_group_name_Hall '-P 4 2'
loop_
_atom_site_label
_atom_site_fract_x
_atom_site_fract_y
_atom_site_fract_z
Rh1 0.000 0.000 0.000
W1 0.500 0.500 0.500
O1 0.500 0.500 0.000
F1 0.000 0.500 0.500
# DFT total energy = -5.323 eV/atom
# Size of the total moment = 0.79 μB per formula unit
# Energy relative to the lowest polymorph listed for this composition = 0.0 kJ per mole of atoms